No. 1
Entry from Alexandria: a relaxed LaAgSb3 crystal (PBE-GGA).

```
LaAgSb3
1.0
-1.826 -0.069 -5.050
-1.200 -5.210 0.506
-4.905 1.300 1.756
Sb Ag La
3 1 1
direct
0.000 0.500 0.000 Sb
0.000 0.000 0.500 Sb
0.500 0.000 0.000 Sb
0.000 0.000 0.000 Ag
0.500 0.500 0.500 La
```

Properties
The uncorrected formation energy is -19 kJ/mol of formula units. The value obtained for the excess energy over the best structure of this formula in the dataset is 0 meV/atom. The total energy comes out at -20.3 eV per cell.

=====

No. 2
Entry from Alexandria: a relaxed La2Ag2Sb crystal (PBE-GGA).

```
La2Ag2Sb
1.0
7.904 0.000 0.000
0.000 7.904 0.000
0.000 0.000 4.385
Sb Ag La
2 4 4
direct
0.000 0.000 0.000 Sb
0.500 0.500 0.000 Sb
0.377 0.877 0.000 Ag
0.877 0.623 0.000 Ag
0.623 0.123 0.000 Ag
0.123 0.377 0.000 Ag
0.177 0.677 0.500 La
0.677 0.823 0.500 La
0.823 0.323 0.500 La
0.323 0.177 0.500 La
```

Properties
The uncorrected formation energy is -253 kJ/mol of formula units. The value obtained for the excess energy over the best structure of this formula in the dataset is 0 meV/atom. The total energy comes out at -44.6 eV per cell.

=====

No. 3
Entry from Alexandria: a relaxed LaAg2Sb crystal (PBE-GGA).

```
LaAg2Sb
1.0
5.658 0.013 -0.017
1.842 5.350 0.017
-3.740 -2.696 3.280
Sb Ag La
1 2 1
direct
0.250 0.750 0.500 Sb
0.000 0.000 0.000 Ag
0.500 0.500 0.000 Ag
0.750 0.250 0.500 La
```

Properties
The uncorrected formation energy is -158 kJ/mol of formula units. The total energy comes out at -16.4 eV per cell.

=====

No. 4
Entry from Alexandria: a relaxed La2AgSbSe crystal (PBE-GGA).

```
La2AgSbSe
1.0
6.055 0.000 0.000
0.000 5.002 0.000
0.000 0.000 6.055
Sb Se Ag La
1 1 1 2
direct
0.000 0.000 0.000 Sb
0.500 0.500 0.500 Se
0.000 0.500 0.000 Ag
0.000 0.000 0.500 La
0.500 0.000 0.000 La
```

Properties
The uncorrected formation energy is -161 kJ/mol of formula units. The total energy comes out at -22.0 eV per cell.

=====

No. 5
Entry from Alexandria: a relaxed LaAg2SbSe crystal (PBE-GGA).

```
LaAg2SbSe
1.0
4.967 0.000 0.000
0.000 5.857 0.000
0.000 0.000 4.967
Sb Se Ag La
1 1 2 1
direct
0.500 0.500 0.500 Sb
0.000 0.000 0.000 Se
0.000 0.000 0.500 Ag
0.500 0.000 0.000 Ag
0.000 0.500 0.000 La
```

Properties
The uncorrected formation energy is -183 kJ/mol of formula units. The total energy comes out at -20.1 eV per cell.

=====

No. 6
Entry from Alexandria: a relaxed LaSmAgSb crystal (PBE-GGA).

```
LaSmAgSb
1.0
5.401 0.000 0.000
2.701 4.678 0.000
2.701 1.559 4.410
Sb Ag Sm La
1 1 1 1
direct
0.250 0.250 0.250 Sb
0.750 0.750 0.750 Ag
0.500 0.500 0.500 Sm
0.000 0.000 0.000 La
```

Properties
The uncorrected formation energy is -241 kJ/mol of formula units. The total energy comes out at -19.1 eV per cell.

=====

No. 7
Entry from Alexandria: a relaxed SrLaAgSb crystal (PBE-GGA).

```
SrLaAgSb
1.0
5.553 0.000 0.000
2.777 4.809 0.000
2.777 1.603 4.534
Sb Sr Ag La
1 1 1 1
direct
0.750 0.750 0.750 Sb
0.500 0.500 0.500 Sr
0.250 0.250 0.250 Ag
0.000 0.000 0.000 La
```

Properties
The uncorrected formation energy is -243 kJ/mol of formula units. The total energy comes out at -16.1 eV per cell.

=====

No. 8
Entry from Alexandria: a relaxed LaTbAgSb crystal (PBE-GGA).

```
LaTbAgSb
1.0
-1.109 3.369 4.021
-4.380 3.086 -0.218
-4.141 -0.988 3.261
Sb Tb Ag La
1 1 1 1
direct
0.500 0.500 0.500 Sb
0.750 0.750 0.750 Tb
0.000 0.000 0.000 Ag
0.250 0.250 0.250 La
```

Properties
The uncorrected formation energy is -231 kJ/mol of formula units. The total energy comes out at -18.9 eV per cell.

=====

No. 9
Entry from Alexandria: a relaxed LaAgSb2Te crystal (PBE-GGA).

```
LaAgSb2Te
1.0
6.092 0.000 0.000
0.000 6.092 0.000
0.000 0.000 6.077
Sb Te Ag La
2 1 1 1
direct
0.000 0.500 0.000 Sb
0.500 0.000 0.000 Sb
0.000 0.000 0.500 Te
0.500 0.500 0.500 Ag
0.000 0.000 0.000 La
```

Properties
The uncorrected formation energy is 238 kJ/mol of formula units. The value obtained for the excess energy over the best structure of this formula in the dataset is 619 meV/atom. The total energy comes out at -16.7 eV per cell.

=====

No. 10
Entry from Alexandria: a relaxed LaAgSbTe2 crystal (PBE-GGA).

```
LaAgSbTe2
1.0
-2.429 4.805 1.003
-4.329 -2.624 2.090
2.240 0.130 4.802
Sb Te Ag La
1 2 1 1
direct
0.000 0.000 0.500 Sb
0.000 0.500 0.000 Te
0.500 0.000 0.000 Te
0.000 0.000 0.000 Ag
0.500 0.500 0.500 La
```

Properties
The uncorrected formation energy is -113 kJ/mol of formula units. The value obtained for the excess energy over the best structure of this formula in the dataset is 0 meV/atom. The total energy comes out at -19.4 eV per cell.

=====

No. 11
Entry from Alexandria: a relaxed LaAgSbTe2 crystal (PBE-GGA).

```
LaAgSbTe2
1.0
-4.837 -1.327 -3.505
3.694 -0.729 -4.823
0.633 -5.974 1.388
Sb Te Ag La
1 2 1 1
direct
0.000 0.000 0.500 Sb
0.000 0.500 0.000 Te
0.500 0.000 0.000 Te
0.500 0.500 0.500 Ag
0.000 0.000 0.000 La
```

Properties
The uncorrected formation energy is 129 kJ/mol of formula units. The value obtained for the excess energy over the best structure of this formula in the dataset is 502 meV/atom. The total energy comes out at -16.8 eV per cell.

=====

No. 12
Entry from Alexandria: a relaxed LaAgSb2Te crystal (PBE-GGA).

```
LaAgSb2Te
1.0
5.330 0.000 0.000
0.000 5.330 0.000
0.000 0.000 5.516
Sb Te Ag La
2 1 1 1
direct
0.000 0.500 0.000 Sb
0.500 0.000 0.000 Sb
0.000 0.000 0.500 Te
0.000 0.000 0.000 Ag
0.500 0.500 0.500 La
```

Properties
The uncorrected formation energy is -60 kJ/mol of formula units. The value obtained for the excess energy over the best structure of this formula in the dataset is 0 meV/atom. The total energy comes out at -19.8 eV per cell.

=====

No. 13
Entry from Alexandria: a relaxed LaAgSbTe3 crystal (PBE-GGA).

```
LaAgSbTe3
1.0
-2.525 0.238 3.707
-3.085 -8.619 -1.549
7.647 -2.140 5.345
La Ag Sb Te
2 2 2 6
direct
0.250 0.173 0.232 La
0.750 0.827 0.768 La
0.250 0.078 0.575 Ag
0.750 0.922 0.425 Ag
0.250 0.672 0.148 Sb
0.750 0.328 0.852 Sb
0.750 0.921 0.125 Te
0.250 0.079 0.875 Te
0.250 0.757 0.509 Te
0.750 0.243 0.491 Te
0.750 0.420 0.149 Te
0.250 0.580 0.851 Te
```

Properties
The uncorrected formation energy is -326 kJ/mol of formula units. The total energy comes out at -49.4 eV per cell.

=====

No. 14
Entry from Alexandria: a relaxed LaTmAgSb crystal (PBE-GGA).

```
LaTmAgSb
1.0
-2.896 -4.431 0.603
0.974 -3.285 4.081
-3.490 -0.377 4.008
Sb Tm Ag La
1 1 1 1
direct
0.750 0.750 0.750 Sb
0.000 0.000 0.000 Tm
0.250 0.250 0.250 Ag
0.500 0.500 0.500 La
```

Properties
The uncorrected formation energy is -213 kJ/mol of formula units. The total energy comes out at -18.6 eV per cell.

=====

No. 15
Entry from Alexandria: a relaxed La2ScAg crystal (PBE-GGA).

```
La2ScAg
1.0
-4.085 2.473 7.368
-0.825 -8.415 2.367
0.333 -2.823 6.364
Sc Ag La
2 2 4
direct
0.500 0.500 0.000 Sc
0.250 0.750 0.500 Sc
0.000 0.000 0.000 Ag
0.750 0.250 0.500 Ag
0.663 0.125 0.250 La
0.087 0.625 0.250 La
0.375 0.337 0.750 La
0.875 0.913 0.750 La
```

Properties
The value obtained for the excess energy over the best structure of this formula in the dataset is 264 meV/atom. The total energy comes out at -36.7 eV per cell. The formation energy is 0.68 eV/f.u.

=====

No. 16
Entry from Alexandria: a relaxed La2ScAg crystal (PBE-GGA).

```
La2ScAg
1.0
6.563 0.006 -0.005
5.527 3.539 -0.005
2.347 0.688 4.980
Sc Ag La
1 1 2
direct
0.536 0.536 0.463 Sc
0.231 0.231 0.270 Ag
0.976 0.976 0.024 La
0.757 0.757 0.743 La
```

Properties
The value obtained for the excess energy over the best structure of this formula in the dataset is 1 meV/atom. The total energy comes out at -19.4 eV per cell. The formation energy is -0.37 eV/f.u.

=====

No. 17
Entry from Alexandria: a relaxed LaSc2Ag2 crystal (PBE-GGA).

```
LaSc2Ag2
1.0
4.701 0.000 0.000
0.000 4.701 0.000
2.350 2.350 5.792
Sc Ag La
2 2 1
direct
0.750 0.250 0.500 Sc
0.250 0.750 0.500 Sc
0.384 0.384 0.231 Ag
0.616 0.616 0.769 Ag
0.000 0.000 0.000 La
```

Properties
The value obtained for the excess energy over the best structure of this formula in the dataset is 28 meV/atom. The total energy comes out at -23.8 eV per cell. The formation energy is -0.53 eV/f.u.

=====

No. 18
Entry from Alexandria: a relaxed La2Sc2Ag crystal (PBE-GGA).

```
La2Sc2Ag
1.0
-6.939 4.931 2.527
-4.724 -7.381 1.433
1.172 -0.091 3.394
Sc Ag La
4 2 4
direct
0.383 0.883 0.000 Sc
0.883 0.617 0.000 Sc
0.617 0.117 0.000 Sc
0.117 0.383 0.000 Sc
0.000 0.000 0.000 Ag
0.500 0.500 0.000 Ag
0.186 0.686 0.500 La
0.686 0.814 0.500 La
0.814 0.314 0.500 La
0.314 0.186 0.500 La
```

Properties
The value obtained for the excess energy over the best structure of this formula in the dataset is 0 meV/atom. The total energy comes out at -48.4 eV per cell. The formation energy is 1.16 eV/f.u.

=====

No. 19
Entry from Alexandria: a relaxed LaSc2Ag crystal (PBE-GGA).

```
LaSc2Ag
1.0
-1.849 -1.264 4.747
-1.955 -4.794 0.863
2.623 -3.400 3.018
Ag La Sc
1 1 2
direct
0.500 0.500 0.500 Ag
0.750 0.750 0.750 La
0.000 0.000 0.000 Sc
0.250 0.250 0.250 Sc
```

Properties
The value obtained for the excess energy over the best structure of this formula in the dataset is 157 meV/atom. The total energy comes out at -20.2 eV per cell. The formation energy is 0.29 eV/f.u.

=====

No. 20
Entry from Alexandria: a relaxed LaScAg crystal (PBE-GGA).

```
LaScAg
1.0
4.981 0.000 0.000
2.491 4.314 0.000
2.491 1.438 4.067
Ag La Sc
1 1 1
direct
0.500 0.500 0.500 Ag
0.750 0.750 0.750 La
0.000 0.000 0.000 Sc
```

Properties
The value obtained for the excess energy over the best structure of this formula in the dataset is 757 meV/atom. The total energy comes out at -12.3 eV per cell. The formation energy is 1.79 eV/f.u.

=====

No. 21
Entry from Alexandria: a relaxed La2Sc2Ag crystal (PBE-GGA).

```
La2Sc2Ag
1.0
4.119 0.000 0.000
0.000 4.119 0.000
2.059 2.059 8.537
Sc Ag La
2 1 2
direct
0.420 0.420 0.161 Sc
0.580 0.580 0.839 Sc
0.000 0.000 0.000 Ag
0.750 0.250 0.500 La
0.250 0.750 0.500 La
```

Properties
The value obtained for the excess energy over the best structure of this formula in the dataset is 329 meV/atom. The total energy comes out at -22.6 eV per cell. The formation energy is 2.80 eV/f.u.

=====

No. 22
Entry from Alexandria: a relaxed LaSc2Ag crystal (PBE-GGA).

```
LaSc2Ag
1.0
6.361 0.001 0.011
5.395 3.370 0.011
2.279 0.653 4.851
Sc Ag La
2 1 1
direct
0.030 0.030 0.970 Sc
0.470 0.470 0.530 Sc
0.750 0.750 0.750 Ag
0.250 0.250 0.250 La
```

Properties
The value obtained for the excess energy over the best structure of this formula in the dataset is 29 meV/atom. The total energy comes out at -20.7 eV per cell. The formation energy is -0.22 eV/f.u.

=====

No. 23
Entry from Alexandria: a relaxed LaScAg2 crystal (PBE-GGA).

```
LaScAg2
1.0
-0.042 2.123 -5.243
-0.827 -1.249 -5.455
-5.130 1.249 -0.870
Ag La Sc
2 1 1
direct
0.013 0.013 0.031 Ag
0.731 0.731 0.748 Ag
0.488 0.488 0.541 La
0.268 0.268 0.180 Sc
```

Properties
The value obtained for the excess energy over the best structure of this formula in the dataset is 147 meV/atom. The total energy comes out at -17.4 eV per cell. The formation energy is -0.43 eV/f.u.

=====

No. 24
Entry from Alexandria: a relaxed LaSc2Ag crystal (PBE-GGA).

```
LaSc2Ag
1.0
5.229 0.085 0.000
-0.474 5.209 0.000
0.000 0.000 3.538
Ag La Sc
1 1 2
direct
0.500 0.000 0.500 Ag
0.000 0.500 0.500 La
0.000 0.000 0.000 Sc
0.500 0.500 0.000 Sc
```

Properties
The value obtained for the excess energy over the best structure of this formula in the dataset is 161 meV/atom. The total energy comes out at -20.1 eV per cell. The formation energy is 0.31 eV/f.u.

=====

No. 25
Entry from Alexandria: a relaxed LaScAg2 crystal (PBE-GGA).

```
LaScAg2
1.0
5.150 0.000 0.000
0.000 3.549 -0.263
0.000 0.386 5.243
Sc Ag La
1 2 1
direct
0.500 0.625 0.866 Sc
0.000 0.125 0.911 Ag
0.500 0.125 0.320 Ag
0.000 0.625 0.403 La
```

Properties
The value obtained for the excess energy over the best structure of this formula in the dataset is 61 meV/atom. The total energy comes out at -17.7 eV per cell. The formation energy is -0.77 eV/f.u.

=====

No. 26
Entry from Alexandria: a relaxed LaSc2Ag crystal (PBE-GGA).

```
LaSc2Ag
1.0
-10.306 -0.052 -1.266
-9.712 -3.390 -1.411
-10.089 -1.863 1.596
Ag La Sc
1 1 2
direct
0.250 0.250 0.250 Ag
0.750 0.750 0.750 La
0.990 0.990 0.990 Sc
0.510 0.510 0.510 Sc
```

Properties
The value obtained for the excess energy over the best structure of this formula in the dataset is 144 meV/atom. The total energy comes out at -20.2 eV per cell. The formation energy is 0.24 eV/f.u.

=====

No. 27
Entry from Alexandria: a relaxed LaScAg crystal (PBE-GGA).

```
LaScAg
1.0
-2.887 -4.106 -0.307
0.676 -3.274 -3.757
1.967 -4.533 0.937
Ag La Sc
1 1 1
direct
0.750 0.750 0.750 Ag
0.000 0.000 0.000 La
0.500 0.500 0.500 Sc
```

Properties
The value obtained for the excess energy over the best structure of this formula in the dataset is 283 meV/atom. The total energy comes out at -13.7 eV per cell. The formation energy is 0.36 eV/f.u.

=====

No. 28
Entry from Alexandria: a relaxed La4ScAg5 crystal (PBE-GGA).

```
La4ScAg5
1.0
-2.272 1.762 2.296
-1.678 -3.181 0.780
12.425 -2.979 14.580
La Sc Ag
4 1 5
direct
0.000 0.000 0.188 La
0.000 0.000 0.396 La
0.000 0.000 0.604 La
0.000 0.000 0.812 La
0.000 0.000 0.000 Sc
0.500 0.500 0.078 Ag
0.500 0.500 0.292 Ag
0.500 0.500 0.500 Ag
0.500 0.500 0.708 Ag
0.500 0.500 0.922 Ag
```

Properties
The total energy comes out at -42.7 eV per cell. The formation energy is -2.44 eV/f.u.